DFT (PBE) results for a relaxed La6TlSb2Te3 crystal.

Results
Energy relative to the elements, uncorrected: -1300.8 meV per atom

```
data_La6TlSb2Te3
_symmetry_space_group_name_H-M 'P 1'
_symmetry_Int_Tables_number 1
_cell_length_a 4.581
_cell_length_b 9.293
_cell_length_c 10.316
_cell_angle_alpha 102.79
_cell_angle_beta 102.83
_cell_angle_gamma 90.00
loop_
_symmetry_equiv_pos_as_xyz
'x,y,z'
loop_
_atom_site_label
_atom_site_fract_x
_atom_site_fract_y
_atom_site_fract_z
La1 0.331 0.421 0.663
La2 0.001 0.249 0.003
La3 0.999 0.751 0.997
La4 0.335 0.912 0.669
La5 0.669 0.579 0.337
La6 0.665 0.088 0.331
Te1 0.832 0.167 0.665
Te2 0.500 0.500 0.000
Te3 0.168 0.833 0.335
Sb1 0.167 0.334 0.334
Sb2 0.833 0.666 0.666
Tl1 0.500 0.000 0.000
```